Ba2TbW3O12 | PBE with a Hubbard U | relaxed

```
Ba2TbW3O12
1.0
-2.533 6.834 -0.224
-7.169 0.947 -0.942
-3.898 2.376 5.686
O W Ba Tb
12 3 2 1
Cartesian
-5.110 1.567 0.002
-10.159 7.860 1.136
-6.418 4.458 4.878
-5.138 6.592 3.786
-10.856 5.585 4.152
-8.036 2.911 3.337
-7.182 5.699 -0.358
-8.490 8.590 4.518
-5.564 7.246 1.183
-8.462 3.564 0.734
-2.744 4.572 0.368
-3.441 2.297 3.384
-3.584 0.473 -0.471
-1.949 1.188 2.843
-1.267 3.417 -0.112
-4.944 3.692 1.643
-8.656 6.465 2.877
0.000 0.000 0.000
```

Summary:
Calculated volume: 15.96 Å³ per atom
Symmetry: R-3m
DFT total energy: -133.5 eV/cell